[1]
Material: Mg7Rh
Method: DFT, GGA-PBE
State: optimized geometry

The space group is R-3m (No. 166, hexagonal axes) and the conventional cell measures 4.8020, 4.8020 and 23.8884 Å, with angles of 90.00, 90.00 and 120.00 degrees. The distinct sites, in fractional coordinates, are Mg at (0.0000, 0.0000, 0.0000), Mg at (0.0000, 0.0000, 0.1317), Mg at (0.0000, 0.0000, 0.2492), Mg at (0.0000, 0.0000, 0.3844) and Rh at (0.0000, 0.0000, 0.5000).

The value obtained for the energy above the most stable polymorph in this dataset is 0 meV/atom. For the size of the total moment, the calculation gives 0.00 μB/atom. Its formation energy is -0.12 eV per atom. Its total energy is -58.34 eV/cell.

---

[2]
Material: CaNdGa2
Method: DFT, GGA-PBE
State: optimized geometry

The space group is P4/mmm (No. 123) and the conventional cell measures 3.666, 3.666 and 7.455 Å, with angles of 90.00, 90.00 and 90.00 degrees. The distinct sites, in fractional coordinates, are Ca at (0.000, 0.000, 0.000), Nd at (0.000, 0.000, 0.500) and Ga at (0.500, 0.500, 0.247).

For the size of the total moment, the calculation gives 0.00 μB/atom. Its formation energy is -0.50 eV per atom. Its total energy is -14.81 eV/cell.

---

[3]
Material: DyY3Er4S8
Method: DFT, GGA-PBE
State: optimized geometry

The space group is R-3m (No. 166, hexagonal axes) and the conventional cell measures 7.7750, 7.7750 and 19.0837 Å, with angles of 90.00, 90.00 and 120.00 degrees. The distinct sites, in fractional coordinates, are Dy at (0.0000, 0.0000, 0.0000), Y at (0.0000, 0.5000, 0.0000), Er at (0.0000, 0.0000, 0.5000), Er at (0.0000, 0.5000, 0.5000), S at (0.0000, 0.0000, 0.2481) and S at (0.0006, 0.5003, 0.7517).

For the uncorrected formation energy, the calculation gives -1.971 eV per atom. For the size of the total moment, the calculation gives 0.00 μB/atom. Its total energy is -320.41 eV/cell.

---

[4]
Material: YZrNp2S4
Method: DFT, GGA-PBE
State: optimized geometry

The space group is P2/m (No. 10) and the conventional cell measures 6.585, 3.879 and 6.715 Å, with angles of 90.00, 109.87 and 90.00 degrees. The distinct sites, in fractional coordinates, are Y at (0.000, 0.000, 0.000), Zr at (0.000, 0.500, 0.500), Np at (0.500, 0.000, 0.500), Np at (0.500, 0.500, 0.000), S at (0.245, 0.000, 0.743) and S at (0.248, 0.500, 0.255).

For the uncorrected formation energy, the calculation gives -1.558 eV per atom. For the size of the total moment, the calculation gives 1.03 μB/atom. Its total energy is -69.87 eV/cell.

---

[5]
Material: NbIrRh2Cl
Method: DFT, GGA-PBE
State: optimized geometry

The space group is P4/mmm (No. 123) and the conventional cell measures 4.359, 4.359 and 4.490 Å, with angles of 90.00, 90.00 and 90.00 degrees. The distinct sites, in fractional coordinates, are Nb at (0.000, 0.000, 0.000), Ir at (0.500, 0.500, 0.000), Rh at (0.000, 0.500, 0.500) and Cl at (0.500, 0.500, 0.500).

For the uncorrected formation energy, the calculation gives 0.966 eV per atom. For the size of the total moment, the calculation gives 0.00 μB/atom. Its total energy is -30.65 eV/cell.

---

[6]
Material: Ba2ZrSc
Method: DFT, GGA-PBE
State: optimized geometry

The space group is Immm (No. 71) and the conventional cell measures 5.140, 5.153 and 10.712 Å, with angles of 90.00, 90.00 and 90.00 degrees. The distinct sites, in fractional coordinates, are Ba at (0.000, 0.000, 0.250), Zr at (0.000, 0.500, 0.000) and Sc at (0.000, 0.500, 0.500).

The value obtained for the energy above the most stable polymorph in this dataset is 302 meV/atom. For the size of the total moment, the calculation gives 0.00 μB/atom. Its formation energy is 0.65 eV per atom. Its total energy is -32.28 eV/cell.

---

[7]
Material: NdEuAs2
Method: DFT, GGA-PBE
State: optimized geometry

The space group is R-3m (No. 166, hexagonal axes) and the conventional cell measures 4.2819, 4.2819 and 21.0489 Å, with angles of 90.00, 90.00 and 120.00 degrees. The distinct sites, in fractional coordinates, are Nd at (0.0000, 0.0000, 0.0000), Eu at (0.0000, 0.0000, 0.5000) and As at (0.0000, 0.0000, 0.2508).

For the size of the total moment, the calculation gives 1.61 μB/atom. Its formation energy is -1.29 eV per atom. Its total energy is -88.53 eV/cell.

---

[8]
Material: Cd6PdPt10
Method: DFT, GGA-PBE
State: optimized geometry

The space group is C2/m (No. 12) and the conventional cell measures 9.071, 12.133 and 5.719 Å, with angles of 90.00, 108.38 and 90.00 degrees. The distinct sites, in fractional coordinates, are Cd at (0.152, 0.156, 0.302), Cd at (0.161, 0.500, 0.338), Pd at (0.000, 0.000, 0.500), Pt at (0.000, 0.328, 0.500), Pt at (0.000, 0.330, 0.000), Pt at (0.166, 0.500, 0.848) and Pt at (0.175, 0.169, 0.824).

For the size of the total moment, the calculation gives 0.00 μB/atom. Its formation energy is -0.21 eV per atom. Its total energy is -149.49 eV/cell.

---

[9]
Material: Pm8C4Se
Method: DFT, GGA-PBE
State: optimized geometry

The space group is F-43m (No. 216) and the conventional cell measures 11.060, 11.060 and 11.060 Å, with angles of 90.00, 90.00 and 90.00 degrees. The distinct sites, in fractional coordinates, are Pm at (0.107, 0.107, 0.107), Pm at (0.139, 0.139, 0.639), C at (0.128, 0.128, 0.872) and Se at (0.250, 0.250, 0.250).

For the uncorrected formation energy, the calculation gives -0.272 eV per atom. For the size of the total moment, the calculation gives 0.00 μB/atom. Its total energy is -327.70 eV/cell.

---

[10]
Material: K2CaTiGe
Method: DFT, GGA-PBE
State: optimized geometry

The space group is P4/mmm (No. 123) and the conventional cell measures 6.572, 6.572 and 5.639 Å, with angles of 90.00, 90.00 and 90.00 degrees. The distinct sites, in fractional coordinates, are K at (0.000, 0.500, 0.000), Ca at (0.000, 0.000, 0.000), Ti at (0.000, 0.000, 0.500) and Ge at (0.500, 0.500, 0.500).

For the size of the total moment, the calculation gives 0.40 μB/atom. Its formation energy is 1.35 eV per atom. Its total energy is -9.97 eV/cell.

---

[11]
Material: CsTaAlAs2
Method: DFT, GGA-PBE
State: optimized geometry

The space group is P4/mmm (No. 123) and the conventional cell measures 5.057, 5.057 and 6.078 Å, with angles of 90.00, 90.00 and 90.00 degrees. The distinct sites, in fractional coordinates, are Cs at (0.000, 0.000, 0.000), Ta at (0.000, 0.000, 0.500), Al at (0.500, 0.500, 0.000) and As at (0.000, 0.500, 0.500).

For the size of the total moment, the calculation gives 0.00 μB/atom. Its formation energy is 0.70 eV per atom. Its total energy is -22.23 eV/cell.

---

[12]
Material: La4ZrW
Method: DFT, GGA-PBE
State: optimized geometry

The space group is F-43m (No. 216) and the conventional cell measures 8.832, 8.832 and 8.832 Å, with angles of 90.00, 90.00 and 90.00 degrees. The distinct sites, in fractional coordinates, are La at (0.124, 0.124, 0.124), Zr at (0.000, 0.000, 0.500) and W at (0.250, 0.250, 0.750).

For the size of the total moment, the calculation gives 0.09 μB/atom. Its formation energy is 1.02 eV per atom. Its total energy is -140.30 eV/cell.

---

Results for theoretical density: 2.9 5.4 6.8 8.1 10.2 4.8 6.6 15.2 6.3 1.6 5.2 8.0 (in g cm⁻³, following the order of the records).